The following is a meta-GGA SCAN calculation of KLa2ZnRe at its PBEsol-relaxed geometry, from Alexandria.

```
data_KLa2ZnRe
_chemical_formula_sum 'K1 La2 Zn1 Re1'
_cell_length_a 4.601
_cell_length_b 5.357
_cell_length_c 5.357
_cell_angle_alpha 90.00
_cell_angle_beta 90.00
_cell_angle_gamma 90.00
_symmetry_space_group_name_H-M 'P 1'
_symmetry_Int_Tables_number 1
loop_
_symmetry_equiv_pos_as_xyz
'x,y,z'
loop_
_atom_site_label
_atom_site_type_symbol
_atom_site_fract_x
_atom_site_fract_y
_atom_site_fract_z
Re1 Re 0.500 0.000 0.000
Zn1 Zn 0.500 0.500 0.500
K1 K 0.000 0.000 0.000
La1 La 0.000 0.000 0.500
La2 La 0.000 0.500 0.000
```

Calculated values
Fermi-level density of states in states/eV per cell: 4.42
Symmetry: No. 123
Crystal system: tetragonal
ΔH_f (0 K) in eV per formula unit: 8.9